Record 1
This record from the Alexandria database describes crystalline NaSm2P3Rh12 at its relaxed geometry. The functional is PBE.

Structure (CIF):
```
data_NaSm2P3Rh12
_chemical_formula_sum 'Na3 Sm6 P9 Rh36'
_space_group_name_H-M_alt 'R -3 m'
_space_group_IT_number 166
_space_group_name_Hall '-R 3 2"'
_cell_length_a 8.9345
_cell_length_b 8.9345
_cell_length_c 12.8304
_cell_angle_alpha 90.00
_cell_angle_beta 90.00
_cell_angle_gamma 120.00
loop_
_atom_site_label
_atom_site_type_symbol
_atom_site_fract_x
_atom_site_fract_y
_atom_site_fract_z
_atom_site_occupancy
Na1 Na 0.0000 0.0000 0.0000 1
Sm1 Sm 0.0000 0.0000 0.3718 1
P1 P 0.0000 0.5000 0.5000 1
Rh1 Rh 0.0037 0.5018 0.3271 1
Rh2 Rh 0.0266 0.5133 0.8815 1
```

**Crystal system**: trigonal
**E_tot**: -6.63 eV/atom

---

Record 2
This record from the Alexandria database describes crystalline HfTcTeSe2 at its relaxed geometry. The functional is PBE.

Structure (CIF):
```
data_HfTcTeSe2
_chemical_formula_sum 'Hf1 Tc1 Te1 Se2'
_space_group_name_H-M_alt 'P 4/m m m'
_space_group_IT_number 123
_space_group_name_Hall '-P 4 2'
_cell_length_a 4.683
_cell_length_b 4.683
_cell_length_c 5.515
_cell_angle_alpha 90.00
_cell_angle_beta 90.00
_cell_angle_gamma 90.00
loop_
_atom_site_label
_atom_site_type_symbol
_atom_site_fract_x
_atom_site_fract_y
_atom_site_fract_z
_atom_site_occupancy
Hf1 Hf 0.000 0.000 0.000 1
Tc1 Tc 0.000 0.000 0.500 1
Te1 Te 0.500 0.500 0.000 1
Se1 Se 0.000 0.500 0.500 1
```

**Crystal system**: tetragonal
**Uncorrected formation energy**: 0.167 eV/atom

---

Record 3
This record from the Alexandria database describes crystalline TbEr2I at its relaxed geometry. The functional is PBE.

Structure (CIF):
```
data_TbEr2I
_chemical_formula_sum 'Tb3 Er6 I3'
_space_group_name_H-M_alt 'R -3 m'
_space_group_IT_number 166
_space_group_name_Hall '-R 3 2"'
_cell_length_a 3.7139
_cell_length_b 3.7139
_cell_length_c 31.1676
_cell_angle_alpha 90.00
_cell_angle_beta 90.00
_cell_angle_gamma 120.00
loop_
_atom_site_label
_atom_site_type_symbol
_atom_site_fract_x
_atom_site_fract_y
_atom_site_fract_z
_atom_site_occupancy
Tb1 Tb 0.0000 0.0000 0.0000 1
Er1 Er 0.0000 0.0000 0.2458 1
I1 I 0.0000 0.0000 0.5000 1
```

**Crystal system**: trigonal
**Uncorrected formation energy**: -0.324 eV/atom
**Excess energy over the best structure of this formula in the dataset**: 0 meV/atom

---

Record 4
This record from the Alexandria database describes crystalline Li2Tl3Cd9 at its relaxed geometry. The functional is PBE.

Structure (CIF):
```
data_Li2Tl3Cd9
_chemical_formula_sum 'Li4 Tl6 Cd18'
_space_group_name_H-M_alt 'I m m m'
_space_group_IT_number 71
_space_group_name_Hall '-I 2 2'
_cell_length_a 4.916
_cell_length_b 11.298
_cell_length_c 12.177
_cell_angle_alpha 90.00
_cell_angle_beta 90.00
_cell_angle_gamma 90.00
loop_
_atom_site_label
_atom_site_type_symbol
_atom_site_fract_x
_atom_site_fract_y
_atom_site_fract_z
_atom_site_occupancy
Li1 Li 0.000 0.150 0.000 1
Tl1 Tl 0.000 0.000 0.210 1
Tl2 Tl 0.000 0.000 0.500 1
Cd1 Cd 0.000 0.280 0.363 1
Cd2 Cd 0.000 0.367 0.131 1
Cd3 Cd 0.000 0.500 0.500 1
```

**Crystal system**: orthorhombic
**E_tot**: -1.40 eV/atom

---

no.,spin magnetization (μB per formula unit)
1,0.00
2,0.00
3,0.00
4,0.00